Below is PmSm2Pb after structural relaxation, with properties calculated at the PBE-GGA level.

Results
E_tot, eV per atom: -4.45
Formation enthalpy at 0 K, eV/f.u.: 0.09
Space group: Cmcm

```
data_PmSm2Pb
_chemical_formula_sum 'Pm4 Sm8 Pb4'
_symmetry_space_group_name_H-M 'P 1'
_symmetry_Int_Tables_number 1
_symmetry_space_group_name_Hall 'P 1'
_cell_length_a 3.514
_cell_length_b 27.014
_cell_length_c 5.692
_cell_angle_alpha 90.00
_cell_angle_beta 90.00
_cell_angle_gamma 90.00
loop_
_atom_site_label
_atom_site_type_symbol
_atom_site_fract_x
_atom_site_fract_y
_atom_site_fract_z
Pm1 Pm 0.000 0.028 0.250
Pm2 Pm 0.000 0.972 0.750
Pm3 Pm 0.500 0.472 0.750
Pm4 Pm 0.500 0.528 0.250
Sm1 Sm 0.000 0.094 0.750
Sm2 Sm 0.000 0.185 0.250
Sm3 Sm 0.000 0.815 0.750
Sm4 Sm 0.000 0.906 0.250
Sm5 Sm 0.500 0.315 0.750
Sm6 Sm 0.500 0.406 0.250
Sm7 Sm 0.500 0.594 0.750
Sm8 Sm 0.500 0.685 0.250
Pb1 Pb 0.000 0.303 0.250
Pb2 Pb 0.000 0.697 0.750
Pb3 Pb 0.500 0.197 0.750
Pb4 Pb 0.500 0.803 0.250
```